Entry 1:
# Nb2V5Mo12

Nb2V5Mo12 after structural relaxation (PBE-GGA, Alexandria).

## Properties
total magnetization: 0.000 μB per atom
N(E_F): 16.674 states/eV/cell
uncorrected energy: -193.9 eV per formula unit
formation energy from the elements: 0.09 eV/atom

Lattice parameters (Å, degrees): 4.4290 9.2550 9.2550 56.12 76.15 76.15
Closest atoms and distances in Å follow each position.
Fractional positions:
Nb: 0.0000 0.2520 0.7480  8 Mo 2.70-2.73
Nb: 0.0000 0.7480 0.2520  8 Mo 2.70-2.73
V: 0.3012 0.1988 0.1988  6 Mo 2.67-2.71, 2 V 2.71
V: 0.7014 0.2983 0.2983  6 Mo 2.65-2.70, 2 V 2.71
V: 0.5000 0.0000 0.0000  8 Mo 2.73-2.74
V: 0.2986 0.7017 0.7017  6 Mo 2.65-2.70, 2 V 2.71
V: 0.6988 0.8012 0.8012  6 Mo 2.67-2.71, 2 V 2.71
Mo: 0.1020 0.8979 0.8979  4 V 2.69-2.74, 2 Mo 2.69, 2 Nb 2.72
Mo: 0.2010 0.5470 0.0512  6 Mo 2.65-2.71, 2 V 2.67-2.68
Mo: 0.2010 0.0512 0.5470  6 Mo 2.65-2.71, 2 V 2.67-2.68
Mo: 0.6007 0.6425 0.1548  3 V 2.65-2.74, 2 Mo 2.71, 2 Nb 2.73
Mo: 0.6007 0.1548 0.6425  3 V 2.65-2.74, 2 Mo 2.71, 2 Nb 2.73
Mo: 0.1030 0.3965 0.3965  2 Mo 2.65, 2 V 2.70, 2 Nb 2.70
Mo: 0.8970 0.6035 0.6035  2 Mo 2.65, 2 V 2.70, 2 Nb 2.70
Mo: 0.3993 0.3575 0.8452  3 V 2.65-2.74, 2 Mo 2.71, 2 Nb 2.73
Mo: 0.3993 0.8452 0.3575  3 V 2.65-2.74, 2 Mo 2.71, 2 Nb 2.73
Mo: 0.7990 0.4530 0.9488  6 Mo 2.65-2.71, 2 V 2.67-2.68
Mo: 0.7990 0.9488 0.4530  6 Mo 2.65-2.71, 2 V 2.67-2.68
Mo: 0.8980 0.1021 0.1021  4 V 2.69-2.74, 2 Mo 2.69, 2 Nb 2.72

---

Entry 2:
# NbV5Mo2

NbV5Mo2 after structural relaxation (PBE-GGA, Alexandria).

## Properties
total magnetization: 0.165 μB per atom
N(E_F): 15.908 states/eV/cell
uncorrected energy: -77.5 eV per formula unit
formation energy from the elements: -0.02 eV/atom

Lattice parameters (Å, degrees): 5.3449 5.3447 5.3449 109.55 109.55 109.31
Closest atoms and distances in Å follow each position.
Fractional positions:
Nb: 0.7779 0.7779 0.0000  8 V 2.67
V: 0.2779 0.2779 0.5001  2 V 2.67, 2 Nb 2.67, 4 Mo 2.67
V: 0.2779 0.7779 0.0000  2 V 2.67, 4 Mo 2.67, 2 Nb 2.67
V: 0.7778 0.2779 0.0000  2 V 2.67, 4 Mo 2.67, 2 Nb 2.67
V: 0.7778 0.7778 0.4999  2 V 2.67, 4 Mo 2.67, 2 Nb 2.67
V: 0.2779 0.2779 0.0000  8 V 2.67
Mo: 0.2779 0.7778 0.5000  8 V 2.67
Mo: 0.7779 0.2779 0.5000  8 V 2.67

---

Entry 3:
# NbV3Mo6

NbV3Mo6 after structural relaxation (PBE-GGA, Alexandria).

## Properties
total magnetization: 0.000 μB per atom
ΔE to the lowest computed polymorph: 301 meV/atom
N(E_F): 18.443 states/eV/cell
uncorrected energy: -100.4 eV per formula unit
formation energy from the elements: 0.20 eV/atom

Lattice parameters (Å, degrees): 3.1122 9.5913 11.2696 109.26 90.00 90.00
Closest atoms and distances in Å follow each position.
Fractional positions:
Nb: 0.7500 0.0614 0.7631  5 Mo 2.66-2.87
Nb: 0.2500 0.9386 0.2369  5 Mo 2.66-2.87
V: 0.7500 0.4114 0.9004  6 Mo 2.57-2.86, 2 V 2.80
V: 0.2500 0.5886 0.0996  6 Mo 2.57-2.86, 2 V 2.80
V: 0.7500 0.6437 0.5285  4 Mo 2.39-2.61
V: 0.2500 0.3563 0.4715  4 Mo 2.39-2.61
V: 0.7500 0.0805 0.0776  2 V 2.47, 4 Mo 2.52-2.72
V: 0.2500 0.9195 0.9224  2 V 2.47, 4 Mo 2.52-2.72
Mo: 0.7500 0.4549 0.6500  3 V 2.47-2.61, 4 Mo 2.63-2.69
Mo: 0.2500 0.5451 0.3500  3 V 2.47-2.61, 4 Mo 2.63-2.69
Mo: 0.7500 0.7596 0.0288  4 V 2.57-2.72, 2 Mo 2.69, 2 Nb 2.87
Mo: 0.2500 0.2404 0.9712  4 V 2.57-2.72, 2 Mo 2.69, 2 Nb 2.87
Mo: 0.7500 0.4062 0.1595  2 V 2.59, 6 Mo 2.63-2.80
Mo: 0.2500 0.5938 0.8405  2 V 2.59, 6 Mo 2.63-2.80
Mo: 0.7500 0.7546 0.3116  4 Mo 2.69-2.79, 2 Nb 2.69, 3 V 2.86-2.97
Mo: 0.2500 0.2454 0.6884  4 Mo 2.69-2.79, 2 Nb 2.69, 3 V 2.86-2.97
Mo: 0.7500 0.1075 0.4763  4 Mo 2.77-2.79, 2 V 2.86, 2 Nb 3.07
Mo: 0.2500 0.8925 0.5237  4 Mo 2.77-2.79, 2 V 2.86, 2 Nb 3.07
Mo: 0.7500 0.7787 0.7485  3 V 2.39-2.52, 1 Nb 2.66
Mo: 0.2500 0.2213 0.2515  3 V 2.39-2.52, 1 Nb 2.66

---

Entry 4:
# NbVMo2

NbVMo2 after structural relaxation (PBE-GGA, Alexandria).

## Properties
total magnetization: 0.000 μB per atom
ΔE to the lowest computed polymorph: 12 meV/atom
N(E_F): 2.247 states/eV/cell
uncorrected energy: -41.3 eV per formula unit
formation energy from the elements: -0.10 eV/atom

Lattice parameters (Å, degrees): 4.4714 4.4714 4.4714 60.00 60.00 60.00
Closest atoms and distances in Å follow each position.
Fractional positions:
Mo: 0.2500 0.2500 0.2500  4 Nb 2.74, 4 V 2.74
Mo: 0.7500 0.7500 0.7500  4 Nb 2.74, 4 V 2.74
Nb: 0.5000 0.5000 0.5000  8 Mo 2.74
V: 0.0000 0.0000 0.0000  8 Mo 2.74